{"formula": "CaMnNiP2", "functional": "GGA-PBE", "state": "optimized geometry", "cell": [[3.751, 0.000, 0.000], [0.000, 3.751, 0.000], [-1.875, -1.875, 5.542]], "species": ["Ca", "Mn", "Ni", "P", "P"], "fractional_positions": [[0.000, 0.000, 0.000], [0.750, 0.250, 0.500], [0.250, 0.750, 0.500], [0.640, 0.640, 0.281], [0.360, 0.360, 0.719]], "total_magnetization_mub_per_fu": 0.00, "rho_g_cm3": 4.592, "space_group": "I-4m2 (119)", "n_ef_per_ev_cell": 2.93, "formation_energy_ev_per_atom": -0.80}